(1)
Below is an optimized crystal structure of LaNiPt, with properties calculated at the PBE level.

- formation energy from the elements (eV per atom) = -0.76

Cell: 4.2970 4.2970 4.0027 Å, 90.00 90.00 120.00°
Space group P-6m2 (No. 187)
Asymmetric unit:
La 0.0000 0.0000 0.0000
Ni 0.6667 0.3333 0.5000
Pt 0.3333 0.6667 0.5000

=====

(2)
Below is an optimized crystal structure of MnCdHg2, with properties calculated at the PBE level.

- formation energy from the elements (eV per atom) = 0.24

Cell: 4.4656 4.4656 4.1332 Å, 90.00 90.00 90.00°
Space group P4/mmm (No. 123)
Asymmetric unit:
Mn 0.0000 0.0000 0.0000
Cd 0.5000 0.5000 0.0000
Hg 0.0000 0.5000 0.5000

=====

(3)
Below is an optimized crystal structure of UBeTc2, with properties calculated at the PBE level.

- formation energy from the elements (eV per atom) = 0.15
- excess energy over the best structure of this formula in the dataset (meV/atom) = 279

Cell: 3.4745 3.4745 17.6501 Å, 90.00 90.00 120.00°
Space group R-3m (No. 166, hexagonal axes)
Asymmetric unit:
U 0.0000 0.0000 0.0000
Be 0.0000 0.0000 0.5000
Tc 0.0000 0.0000 0.2349

=====

(4)
Below is an optimized crystal structure of BaScCd3, with properties calculated at the PBE level.

- formation energy from the elements (eV per atom) = 0.94
- excess energy over the best structure of this formula in the dataset (meV/atom) = 848

Cell: 6.0647 6.0647 6.0647 Å, 90.00 90.00 90.00°
Space group Pm-3m (No. 221)
Asymmetric unit:
Ba 0.0000 0.0000 0.0000
Sc 0.5000 0.5000 0.5000
Cd 0.0000 0.0000 0.5000

=====

(5)
Below is an optimized crystal structure of In3PtN, with properties calculated at the PBE level.

- excess energy over the best structure of this formula in the dataset (meV/atom) = 0

Cell: 4.5813 4.5813 4.5813 Å, 90.00 90.00 90.00°
Space group Pm-3m (No. 221)
Asymmetric unit:
In 0.0000 0.0000 0.5000
Pt 0.5000 0.5000 0.5000
N 0.0000 0.0000 0.0000

=====

(6)
Below is an optimized crystal structure of HoSiGe, with properties calculated at the PBE level.

- excess energy over the best structure of this formula in the dataset (meV/atom) = 86

Cell: 3.8802 7.8780 8.0409 Å, 90.00 90.00 90.00°
Space group Immm (No. 71)
Asymmetric unit:
Ho 0.0000 0.2483 0.0000
Si 0.0000 0.5000 0.3525
Ge 0.0000 0.0000 0.3314

=====

Number 6 is which compound? HoSiGe

=====

Number 5 is which compound? In3PtN